! GGA-PBE Ce2Pd3, optimized geometry; values from VASP
&SYSTEM
  ibrav = 0, nat = 5, ntyp = 2
/
ATOMIC_SPECIES
Ce 140.12 Ce.upf
Pd 106.42 Pd.upf
CELL_PARAMETERS angstrom
2.257 1.303 6.525
-2.257 1.303 6.525
0.000 -2.606 6.525
ATOMIC_POSITIONS crystal
Ce 0.088 0.088 0.088
Ce 0.912 0.912 0.912
Pd 0.348 0.348 0.348
Pd 0.500 0.500 0.500
Pd 0.652 0.652 0.652
! ΔE_f = -0.61 eV/atom
! space-group type = R-3m (166)
! E = -6.099 eV/atom
! calculated volume = 23.03 Å³/atom
! DOS(E_F) = 12.3 states/eV per cell